[1]
# BeAlSi | Alexandria via LeMat-Bulk | PBE-GGA | optimized geometry
data_BeAlSi
_cell_length_a 2.985
_cell_length_b 2.985
_cell_length_c 8.861
_cell_angle_alpha 90.00
_cell_angle_beta 90.00
_cell_angle_gamma 90.00
_symmetry_space_group_name_H-M 'I 4 m m'
_symmetry_Int_Tables_number 107
_symmetry_space_group_name_Hall 'I 4 -2'
loop_
_atom_site_label
_atom_site_type_symbol
_atom_site_fract_x
_atom_site_fract_y
_atom_site_fract_z
Be1 Be 0.000 0.000 0.000
Al1 Al 0.000 0.000 0.328
Si1 Si 0.000 0.000 0.634
# Volume = 79 Å³ per cell
# Calculated total energy = -3.945 eV/atom

=====

[2]
# LiNpSnAu | Alexandria via LeMat-Bulk | PBE-GGA | optimized geometry
data_LiNpSnAu
_cell_length_a 6.980
_cell_length_b 6.980
_cell_length_c 6.980
_cell_angle_alpha 90.00
_cell_angle_beta 90.00
_cell_angle_gamma 90.00
_symmetry_space_group_name_H-M 'F -4 3 m'
_symmetry_Int_Tables_number 216
_symmetry_space_group_name_Hall 'F -4 2 3'
loop_
_atom_site_label
_atom_site_type_symbol
_atom_site_fract_x
_atom_site_fract_y
_atom_site_fract_z
Li1 Li 0.000 0.000 0.000
Np1 Np 0.250 0.250 0.750
Sn1 Sn 0.250 0.250 0.250
Au1 Au 0.000 0.000 0.500
# Volume = 340 Å³ per cell
# Calculated total energy = -5.663 eV/atom
# Energy of formation from the pure elements = -0.129 eV per atom

=====

[3]
# Ba2Nd4Pb3O2 | Alexandria via LeMat-Bulk | PBE-GGA | optimized geometry
data_Ba2Nd4Pb3O2
_cell_length_a 4.993
_cell_length_b 4.993
_cell_length_c 27.351
_cell_angle_alpha 90.00
_cell_angle_beta 90.00
_cell_angle_gamma 90.00
_symmetry_space_group_name_H-M 'I 4/m m m'
_symmetry_Int_Tables_number 139
_symmetry_space_group_name_Hall '-I 4 2'
loop_
_atom_site_label
_atom_site_type_symbol
_atom_site_fract_x
_atom_site_fract_y
_atom_site_fract_z
Ba1 Ba 0.000 0.000 0.196
Nd1 Nd 0.000 0.500 0.081
Pb1 Pb 0.000 0.000 0.335
Pb2 Pb 0.000 0.000 0.500
O1 O 0.000 0.000 0.090
# Volume = 682 Å³ per cell
# Calculated total energy = -5.367 eV/atom

=====

[4]
# Sr2ZnNiAg | Alexandria via LeMat-Bulk | PBE-GGA | optimized geometry
data_Sr2ZnNiAg
_cell_length_a 5.604
_cell_length_b 5.604
_cell_length_c 4.644
_cell_angle_alpha 90.00
_cell_angle_beta 90.00
_cell_angle_gamma 90.00
_symmetry_space_group_name_H-M 'P 4/m m m'
_symmetry_Int_Tables_number 123
_symmetry_space_group_name_Hall '-P 4 2'
loop_
_atom_site_label
_atom_site_type_symbol
_atom_site_fract_x
_atom_site_fract_y
_atom_site_fract_z
Sr1 Sr 0.000 0.500 0.000
Zn1 Zn 0.000 0.000 0.500
Ni1 Ni 0.000 0.000 0.000
Ag1 Ag 0.500 0.500 0.500
# Volume = 146 Å³ per cell
# Calculated total energy = -2.703 eV/atom
# Energy of formation from the pure elements = -0.049 eV per atom

=====

[5]
# NbAl3Co2 | Alexandria via LeMat-Bulk | PBE-GGA | optimized geometry
data_NbAl3Co2
_cell_length_a 2.868
_cell_length_b 2.868
_cell_length_c 9.715
_cell_angle_alpha 90.00
_cell_angle_beta 90.00
_cell_angle_gamma 90.00
_symmetry_space_group_name_H-M 'P 4/m m m'
_symmetry_Int_Tables_number 123
_symmetry_space_group_name_Hall '-P 4 2'
loop_
_atom_site_label
_atom_site_type_symbol
_atom_site_fract_x
_atom_site_fract_y
_atom_site_fract_z
Nb1 Nb 0.000 0.000 0.000
Al1 Al 0.500 0.500 0.209
Al2 Al 0.500 0.500 0.500
Co1 Co 0.000 0.000 0.353
# Volume = 80 Å³ per cell
# Calculated total energy = -6.428 eV/atom
# Energy of formation from the pure elements = -0.510 eV per atom

=====

[6]
# B4C | Alexandria via LeMat-Bulk | PBE-GGA | optimized geometry
data_B4C
_cell_length_a 2.328
_cell_length_b 2.393
_cell_length_c 24.714
_cell_angle_alpha 90.00
_cell_angle_beta 90.00
_cell_angle_gamma 90.00
_symmetry_space_group_name_H-M 'I m m a'
_symmetry_Int_Tables_number 74
_symmetry_space_group_name_Hall '-I 2b 2'
loop_
_atom_site_label
_atom_site_type_symbol
_atom_site_fract_x
_atom_site_fract_y
_atom_site_fract_z
B1 B 0.000 0.250 0.027
B2 B 0.000 0.250 0.419
B3 B 0.000 0.250 0.634
B4 B 0.000 0.250 0.812
C1 C 0.000 0.250 0.233
# Volume = 138 Å³ per cell
# Calculated total energy = -6.800 eV/atom
# Distance to the lowest polymorph of the same formula = 489 meV/atom
# Energy of formation from the pure elements = 0.387 eV per atom

=====

[7]
# ZrMn3 | Alexandria via LeMat-Bulk | PBE-GGA | optimized geometry
data_ZrMn3
_cell_length_a 5.187
_cell_length_b 8.419
_cell_length_c 5.087
_cell_angle_alpha 90.00
_cell_angle_beta 90.00
_cell_angle_gamma 90.00
_symmetry_space_group_name_H-M 'P n m a'
_symmetry_Int_Tables_number 62
loop_
_symmetry_equiv_pos_as_xyz
'x,y,z'
'-x,-y,-z'
'-x+1/2,-y,z+1/2'
'x+1/2,y,-z+1/2'
'x+1/2,-y+1/2,-z+1/2'
'-x+1/2,y+1/2,z+1/2'
'-x,y+1/2,-z'
'x,-y+1/2,z'
loop_
_atom_site_label
_atom_site_type_symbol
_atom_site_fract_x
_atom_site_fract_y
_atom_site_fract_z
Zr1 Zr 0.006 0.250 0.121
Mn1 Mn 0.047 0.750 0.368
Mn2 Mn 0.189 0.029 0.624
# Volume = 222 Å³ per cell
# Calculated total energy = -8.833 eV/atom
# Energy of formation from the pure elements = 0.181 eV per atom

=====

[8]
# Te2Au | Alexandria via LeMat-Bulk | PBE-GGA | optimized geometry
data_Te2Au
_cell_length_a 5.140
_cell_length_b 5.140
_cell_length_c 3.239
_cell_angle_alpha 90.00
_cell_angle_beta 90.00
_cell_angle_gamma 90.00
_symmetry_space_group_name_H-M 'P 4/m m m'
_symmetry_Int_Tables_number 123
_symmetry_space_group_name_Hall '-P 4 2'
loop_
_atom_site_label
_atom_site_type_symbol
_atom_site_fract_x
_atom_site_fract_y
_atom_site_fract_z
Te1 Te 0.000 0.500 0.000
Au1 Au 0.000 0.000 0.500
# Volume = 86 Å³ per cell
# Calculated total energy = -2.929 eV/atom